(1)
{"formula": "Na2Lu3Te4I3O12", "functional": "PBE-GGA", "state": "optimized geometry", "lattice_angstrom": [[-2.201, 2.500, 4.434], [4.086, -6.276, 5.567], [13.493, 9.794, 1.173]], "species": ["Na", "Na", "Na", "Na", "Lu", "Lu", "Lu", "Lu", "Lu", "Lu", "Te", "Te", "Te", "Te", "Te", "Te", "Te", "Te", "I", "I", "I", "I", "I", "I", "O", "O", "O", "O", "O", "O", "O", "O", "O", "O", "O", "O", "O", "O", "O", "O", "O", "O", "O", "O", "O", "O", "O", "O"], "frac_coords": [[0.262, 0.704, 0.087], [0.262, 0.296, 0.413], [0.738, 0.296, 0.913], [0.738, 0.704, 0.587], [0.247, 0.000, 0.250], [0.753, 0.000, 0.750], [0.254, 0.999, 0.915], [0.254, 0.001, 0.585], [0.746, 0.001, 0.085], [0.746, 0.999, 0.415], [0.208, 0.752, 0.733], [0.208, 0.248, 0.767], [0.792, 0.248, 0.267], [0.792, 0.752, 0.233], [0.287, 0.756, 0.434], [0.287, 0.244, 0.066], [0.713, 0.244, 0.566], [0.713, 0.756, 0.934], [0.253, 0.500, 0.250], [0.747, 0.500, 0.750], [0.247, 0.503, 0.917], [0.247, 0.497, 0.583], [0.753, 0.497, 0.083], [0.753, 0.503, 0.417], [0.460, 0.868, 0.687], [0.460, 0.132, 0.813], [0.540, 0.132, 0.313], [0.540, 0.868, 0.187], [0.073, 0.873, 0.815], [0.073, 0.127, 0.685], [0.927, 0.127, 0.185], [0.927, 0.873, 0.315], [0.007, 0.845, 0.158], [0.007, 0.155, 0.342], [0.993, 0.155, 0.842], [0.993, 0.845, 0.658], [0.040, 0.873, 0.479], [0.040, 0.127, 0.021], [0.960, 0.127, 0.521], [0.960, 0.873, 0.979], [0.421, 0.880, 0.354], [0.421, 0.120, 0.146], [0.579, 0.120, 0.646], [0.579, 0.880, 0.854], [0.494, 0.849, 0.007], [0.494, 0.151, 0.493], [0.506, 0.151, 0.993], [0.506, 0.849, 0.507]], "e_form_raw_ev_per_fu": -46.0, "mass_density_g_cm3": 6.35, "volume_a3_per_atom": 18.0, "sg": "P2/c"}



(2)
{"formula": "Tb7Al2Sn2", "functional": "PBE-GGA", "state": "optimized geometry", "lattice_angstrom": [[6.690, -0.003, -0.918], [0.004, 7.724, 0.003], [-1.333, -0.002, 6.619]], "species": ["Tb", "Tb", "Tb", "Tb", "Tb", "Tb", "Tb", "Al", "Al", "Sn", "Sn"], "frac_coords": [[0.000, 0.292, 0.500], [0.500, 0.708, 0.000], [0.000, 0.708, 0.500], [0.500, 0.292, 0.000], [0.000, 0.000, 0.000], [0.500, 0.721, 0.500], [0.500, 0.279, 0.500], [0.832, 0.500, 0.832], [0.168, 0.500, 0.168], [0.703, 0.000, 0.297], [0.297, 0.000, 0.703]], "formation_enthalpy_0k_mev_per_atom": -169, "mass_density_g_cm3": 7.01, "volume_a3_per_atom": 30.2, "sg": "Cmmm"}



(3)
{"formula": "Ga2AsRh", "functional": "PBE-GGA", "state": "optimized geometry", "lattice_angstrom": [[-0.921, 5.332, -1.832], [-4.270, -1.872, -3.301], [-6.228, 2.556, 1.664]], "species": ["As", "As", "Rh", "Rh", "Ga", "Ga", "Ga", "Ga"], "frac_coords": [[0.500, 0.500, 0.000], [0.250, 0.750, 0.500], [0.000, 0.000, 0.000], [0.750, 0.250, 0.500], [0.637, 0.125, 0.250], [0.113, 0.625, 0.250], [0.375, 0.363, 0.750], [0.875, 0.887, 0.750]], "formation_enthalpy_0k_mev_per_atom": 38, "mass_density_g_cm3": 5.73, "volume_a3_per_atom": 23.0, "sg": "I-42d"}



(4)
{"formula": "Nd12TlPd6", "functional": "PBE-GGA", "state": "optimized geometry", "lattice_angstrom": [[-5.098, 3.857, -6.327], [-4.547, -6.860, 3.628], [1.760, 6.052, 6.417]], "species": ["Nd", "Nd", "Nd", "Nd", "Nd", "Nd", "Nd", "Nd", "Nd", "Nd", "Nd", "Nd", "Tl", "Pd", "Pd", "Pd", "Pd", "Pd", "Pd"], "frac_coords": [[0.852, 0.613, 0.554], [0.554, 0.852, 0.613], [0.613, 0.554, 0.852], [0.148, 0.387, 0.446], [0.446, 0.148, 0.387], [0.387, 0.446, 0.148], [0.031, 0.856, 0.322], [0.144, 0.678, 0.969], [0.678, 0.969, 0.144], [0.969, 0.144, 0.678], [0.856, 0.322, 0.031], [0.322, 0.031, 0.856], [0.000, 0.000, 0.000], [0.712, 0.784, 0.355], [0.645, 0.288, 0.216], [0.216, 0.645, 0.288], [0.288, 0.216, 0.645], [0.355, 0.712, 0.784], [0.784, 0.355, 0.712]], "formation_enthalpy_0k_mev_per_atom": -420, "mass_density_g_cm3": 7.48, "e_above_lowest_polymorph_mev_per_atom": 108.9, "volume_a3_per_atom": 30.1, "sg": "R-3"}



(5)
{"formula": "La6Y2Hg", "functional": "PBE-GGA", "state": "optimized geometry", "lattice_angstrom": [[-3.235, -1.190, -1.352], [4.764, -4.794, -7.181], [-1.899, -4.539, 8.541]], "species": ["La", "La", "La", "La", "La", "La", "Y", "Y", "Hg"], "frac_coords": [[0.500, 0.628, 0.000], [0.500, 0.372, 0.372], [0.500, 0.000, 0.628], [0.000, 0.278, 0.000], [0.000, 0.722, 0.722], [0.000, 0.000, 0.278], [0.000, 0.333, 0.667], [0.000, 0.667, 0.333], [0.500, 0.000, 0.000]], "formation_enthalpy_0k_mev_per_atom": -95, "mass_density_g_cm3": 6.46, "volume_a3_per_atom": 34.6, "sg": "P-62m"}



(6)
{"formula": "Th6Si2Sb3Te", "functional": "PBE-GGA", "state": "optimized geometry", "lattice_angstrom": [[4.395, 0.000, 0.000], [0.000, 8.897, 0.282], [-2.197, -2.601, 9.312]], "species": ["Th", "Th", "Th", "Th", "Th", "Th", "Si", "Si", "Sb", "Sb", "Sb", "Te"], "frac_coords": [[0.328, 0.889, 0.656], [0.673, 0.569, 0.347], [0.672, 0.111, 0.344], [0.012, 0.260, 0.024], [0.988, 0.740, 0.976], [0.327, 0.431, 0.653], [0.832, 0.665, 0.664], [0.168, 0.335, 0.336], [0.500, 0.500, 0.000], [0.840, 0.165, 0.680], [0.160, 0.835, 0.320], [0.500, 0.000, 0.000]], "e_form_raw_ev_per_fu": -10.7, "mass_density_g_cm3": 8.78, "volume_a3_per_atom": 30.6, "sg": "C2/m"}



(7)
{"formula": "Y2Ta2Pb", "functional": "PBE-GGA", "state": "optimized geometry", "lattice_angstrom": [[-6.469, 7.211, 2.962], [-6.304, 7.586, -2.307], [4.387, -9.116, -0.513]], "species": ["Y", "Y", "Ta", "Ta", "Pb"], "frac_coords": [[0.612, 0.612, 0.000], [0.388, 0.388, 0.000], [0.250, 0.750, 0.500], [0.750, 0.250, 0.500], [0.000, 0.000, 0.000]], "formation_enthalpy_0k_mev_per_atom": 283, "mass_density_g_cm3": 9.08, "volume_a3_per_atom": 27.3, "sg": "I4/mmm"}



(8)
{"formula": "PrGdAu", "functional": "PBE-GGA", "state": "optimized geometry", "lattice_angstrom": [[5.099, 0.000, 0.000], [2.550, 4.416, 0.000], [2.550, 1.472, 4.164]], "species": ["Pr", "Gd", "Au"], "frac_coords": [[0.500, 0.500, 0.500], [0.000, 0.000, 0.000], [0.250, 0.250, 0.250]], "formation_enthalpy_0k_mev_per_atom": -398, "mass_density_g_cm3": 8.77, "e_above_lowest_polymorph_mev_per_atom": 114.1, "volume_a3_per_atom": 31.3, "sg": "F-43m"}



(9)
{"formula": "AlAsW2S", "functional": "PBE-GGA", "state": "optimized geometry", "lattice_angstrom": [[-2.575, 0.025, -4.016], [1.888, -3.482, -1.232], [-3.378, -2.592, 2.151]], "species": ["As", "S", "W", "W", "Al"], "frac_coords": [[0.500, 0.500, 0.500], [0.000, 0.500, 0.000], [0.000, 0.000, 0.500], [0.500, 0.000, 0.000], [0.000, 0.000, 0.000]], "e_form_raw_ev_per_fu": 8.5, "mass_density_g_cm3": 8.82, "volume_a3_per_atom": 18.9, "sg": "P4/mmm"}



(10)
{"formula": "InSe2", "functional": "PBE-GGA", "state": "optimized geometry", "lattice_angstrom": [[4.250, 0.000, 0.000], [0.000, 8.202, 0.000], [0.000, 0.000, 10.382]], "species": ["Se", "Se", "Se", "Se", "Se", "Se", "Se", "Se", "In", "In", "In", "In"], "frac_coords": [[0.250, 0.841, 0.019], [0.750, 0.659, 0.519], [0.250, 0.341, 0.481], [0.750, 0.159, 0.981], [0.250, 0.056, 0.353], [0.750, 0.444, 0.853], [0.250, 0.556, 0.147], [0.750, 0.944, 0.647], [0.250, 0.724, 0.364], [0.750, 0.776, 0.864], [0.250, 0.224, 0.136], [0.750, 0.276, 0.636]], "e_form_raw_ev_per_fu": -0.5, "mass_density_g_cm3": 5.01, "volume_a3_per_atom": 30.2, "sg": "Pnma"}



(11)
{"formula": "Cs4Ac3TbO8", "functional": "PBE-GGA", "state": "optimized geometry", "lattice_angstrom": [[-4.108, 6.374, 1.114], [-0.342, -1.636, 8.103], [6.930, 0.425, -3.247]], "species": ["Cs", "Cs", "Cs", "Cs", "Ac", "Ac", "Ac", "Tb", "O", "O", "O", "O", "O", "O", "O", "O"], "frac_coords": [[0.500, 0.000, 0.000], [0.500, 0.000, 0.500], [0.000, 0.000, 0.000], [0.000, 0.000, 0.500], [0.500, 0.500, 0.000], [0.500, 0.500, 0.500], [0.000, 0.500, 0.500], [0.000, 0.500, 0.000], [0.215, 0.670, 0.955], [0.215, 0.670, 0.429], [0.275, 0.325, 0.550], [0.741, 0.670, 0.955], [0.259, 0.330, 0.045], [0.725, 0.675, 0.450], [0.785, 0.330, 0.571], [0.785, 0.330, 0.045]], "e_form_raw_ev_per_fu": -40.2, "mass_density_g_cm3": 7.00, "volume_a3_per_atom": 22.2, "sg": "R-3m"}



(12)
{"formula": "HoMnAl", "functional": "PBE-GGA", "state": "optimized geometry", "lattice_angstrom": [[3.032, 0.000, 0.000], [0.000, 5.386, 0.000], [0.000, 0.000, 7.112]], "species": ["Al", "Al", "Ho", "Ho", "Mn", "Mn"], "frac_coords": [[0.500, 0.750, 0.757], [0.500, 0.250, 0.243], [0.000, 0.250, 0.646], [0.000, 0.750, 0.354], [0.000, 0.000, 0.000], [0.000, 0.500, 0.000]], "formation_enthalpy_0k_mev_per_atom": -1, "mass_density_g_cm3": 7.06, "volume_a3_per_atom": 19.4, "sg": "Pmma"}